! CsCrSn3 PBE relaxed; values from VASP
&SYSTEM
  ibrav = 0, nat = 5, ntyp = 3
/
ATOMIC_SPECIES
Cs 132.91 Cs.upf
Cr 52.00 Cr.upf
Sn 118.71 Sn.upf
ATOMIC_POSITIONS crystal
Cs 0.0000 0.0000 0.0000
Cr 0.5000 0.5000 0.5000
Sn 0.0000 0.5000 0.5000
Sn 0.5000 0.0000 0.5000
Sn 0.5000 0.5000 0.0000
CELL_PARAMETERS angstrom
5.1910 0.0000 0.0000
0.0000 5.1910 0.0000
0.0000 0.0000 5.1910
! Theoretical density ... 6.4 g/cm³
! Formation energy ... 10 kJ/mol of atoms
! Spin magnetization ... 0.00 μB per cell